# PBE Sm2HoErSb4, optimized geometry
# Uncorrected formation energy, meV per atom: -1139
# SG: P2/m (10)
# Total magnetic moment, μB/cell: 0.00
# Density of states at the Fermi level, states/eV per atom: 0.1375
data_Sm2HoErSb4
_symmetry_space_group_name_H-M 'P 1'
_symmetry_Int_Tables_number 1
_cell_length_a 4.4191
_cell_length_b 7.6500
_cell_length_c 7.6460
_cell_angle_alpha 109.48
_cell_angle_beta 90.00
_cell_angle_gamma 90.00
loop_
_symmetry_equiv_pos_as_xyz
'x,y,z'
loop_
_atom_site_label
_atom_site_type_symbol
_atom_site_fract_x
_atom_site_fract_y
_atom_site_fract_z
Sb1 Sb 0.0000 0.2519 0.7571
Sb2 Sb 0.5000 0.2470 0.2425
Sb3 Sb 0.5000 0.7530 0.7575
Sb4 Sb 0.0000 0.7481 0.2429
Ho1 Ho 0.5000 0.5000 0.0000
Sm1 Sm 0.5000 0.0000 0.5000
Sm2 Sm 0.0000 0.5000 0.5000
Er1 Er 0.0000 0.0000 0.0000